1.
First-principles (PBE) data for a relaxed GeBi2Pb crystal, as listed in Alexandria.

Computed properties:
E_form: 1.1 eV per formula unit

abc: 7.112 7.112 12.944
angles: 90.00 90.00 90.00
Space group I-42d (No. 122)
One atom of each set of equivalent atoms:
Ge1 0.000 0.000 0.000 (multiplicity 4)
Bi1 0.209 0.250 0.125 (multiplicity 8)
Pb1 0.000 0.000 0.500 (multiplicity 4)

***

2.
First-principles (PBE) data for a relaxed Ge2Bi2Pb crystal, as listed in Alexandria.

Computed properties:
Distance to the lowest polymorph of the same formula: 60.9 meV/atom
E_form: 1.3 eV per formula unit

abc: 8.712 8.712 3.786
angles: 90.00 90.00 90.00
Space group P4/mbm (No. 127)
One atom of each set of equivalent atoms:
Ge1 0.124 0.376 0.000 (multiplicity 4)
Bi1 0.156 0.656 0.500 (multiplicity 4)
Pb1 0.000 0.000 0.500 (multiplicity 2)

***

3.
First-principles (PBE) data for a relaxed GeBiPb2 crystal, as listed in Alexandria.

Computed properties:
Distance to the lowest polymorph of the same formula: 133.4 meV/atom
E_form: 1.1 eV per formula unit

abc: 3.3633 3.3633 36.7947
angles: 90.00 90.00 120.00
Space group R-3m (No. 166, hexagonal axes)
One atom of each set of equivalent atoms:
Ge1 0.0000 0.0000 0.0000 (multiplicity 3)
Bi1 0.0000 0.0000 0.5000 (multiplicity 3)
Pb1 0.0000 0.0000 0.0816 (multiplicity 6)

***

4.
First-principles (PBE) data for a relaxed PmGeBiPb crystal, as listed in Alexandria.

Computed properties:
E_form: -0.7 eV per formula unit

abc: 7.715 7.715 7.715
angles: 90.00 90.00 90.00
Space group F-43m (No. 216)
One atom of each set of equivalent atoms:
Pm1 0.000 0.000 0.000 (multiplicity 4)
Ge1 0.250 0.250 0.250 (multiplicity 4)
Bi1 0.250 0.250 0.750 (multiplicity 4)
Pb1 0.000 0.000 0.500 (multiplicity 4)

***

5.
First-principles (PBE) data for a relaxed GeBiPb2S5 crystal, as listed in Alexandria.

Computed properties:
Uncorrected formation energy: -397.0 meV/atom

abc: 4.242 17.717 12.215
angles: 90.00 90.00 90.00
Space group Cmc2_1 (No. 36)
One atom of each set of equivalent atoms:
Ge1 0.000 0.047 0.000 (multiplicity 4)
Bi1 0.000 0.299 0.607 (multiplicity 4)
Pb1 0.000 0.372 0.256 (multiplicity 4)
Pb2 0.000 0.385 0.909 (multiplicity 4)
S1 0.000 0.013 0.337 (multiplicity 4)
S2 0.000 0.150 0.589 (multiplicity 4)
S3 0.000 0.172 0.942 (multiplicity 4)
S4 0.000 0.209 0.256 (multiplicity 4)
S5 0.000 0.475 0.579 (multiplicity 4)

***

6.
First-principles (PBE) data for a relaxed SnGeBiPb crystal, as listed in Alexandria.

Computed properties:
E_form: 0.7 eV per formula unit

abc: 7.603 7.603 7.603
angles: 90.00 90.00 90.00
Space group F-43m (No. 216)
One atom of each set of equivalent atoms:
Sn1 0.000 0.000 0.000 (multiplicity 4)
Ge1 0.000 0.000 0.500 (multiplicity 4)
Bi1 0.250 0.250 0.750 (multiplicity 4)
Pb1 0.250 0.250 0.250 (multiplicity 4)

***

7.
First-principles (PBE) data for a relaxed SnGeBiPb2 crystal, as listed in Alexandria.

Computed properties:
E_form: 1.9 eV per formula unit

abc: 5.691 5.691 5.182
angles: 90.00 90.00 90.00
Space group P4/mmm (No. 123)
One atom of each set of equivalent atoms:
Sn1 0.000 0.000 0.000 (multiplicity 1)
Ge1 0.000 0.000 0.500 (multiplicity 1)
Bi1 0.500 0.500 0.000 (multiplicity 1)
Pb1 0.000 0.500 0.500 (multiplicity 2)

***

8.
First-principles (PBE) data for a relaxed GeBiTe4Pb2 crystal, as listed in Alexandria.

Computed properties:
Uncorrected formation energy: -194.2 meV/atom

abc: 7.859 4.322 8.068
angles: 90.00 106.63 90.00
Space group P2/m (No. 10)
One atom of each set of equivalent atoms:
Ge1 0.000 0.000 0.000 (multiplicity 1)
Bi1 0.500 0.500 0.000 (multiplicity 1)
Te1 0.234 0.500 0.228 (multiplicity 2)
Te2 0.245 0.000 0.762 (multiplicity 2)
Pb1 0.000 0.500 0.500 (multiplicity 1)
Pb2 0.500 0.000 0.500 (multiplicity 1)